# 1
Here is a geometry-optimized CsOsO3 structure from OQMD via LeMat-Bulk. Energies are from PBE.

abc: 5.6965 5.6965 5.6965
angles: 59.94 59.94 59.94
Closest atoms and distances in Å follow each position.
Sites, in units of the cell vectors:
Cs 0.2500 0.2500 0.2500  12 O 2.84-2.85
Cs 0.7500 0.7500 0.7500  12 O 2.84-2.85
O 0.7500 0.2510 0.2490  2 Os 2.01
O 0.7490 0.7510 0.2500  2 Os 2.01
O 0.2490 0.7500 0.2510  2 Os 2.01
O 0.7510 0.2500 0.7490  2 Os 2.01
O 0.2510 0.2490 0.7500  2 Os 2.01
O 0.2500 0.7490 0.7510  2 Os 2.01
Os 0.0000 0.0000 0.0000  6 O 2.01
Os 0.5000 0.5000 0.5000  6 O 2.01

Properties
space group	R-3c, No. 167
magnetization	0.05	μB/f.u.

# 2
Here is a geometry-optimized CsOs2O4 structure from OQMD via LeMat-Bulk. Energies are from PBE.

abc: 6.6611 6.6611 6.6611
angles: 119.99 90.01 119.99
Closest atoms and distances in Å follow each position.
Sites, in units of the cell vectors:
Cs 0.0000 0.0000 0.0000  4 O 2.59
Cs 0.7500 0.5000 0.2500  4 O 2.59
O 0.5914 0.1828 0.4086  3 Os 2.09
O 0.2258 0.8172 0.4086  3 Os 2.09
O 0.5914 0.8172 0.4086  3 Os 2.09
O 0.1586 0.3172 0.4758  3 Os 2.09
O 0.5914 0.1828 0.7742  3 Os 2.09
O 0.1586 0.6828 0.8414  3 Os 2.09
O 0.1586 0.3172 0.8414  3 Os 2.09
O 0.5242 0.6828 0.8414  3 Os 2.09
Os 0.3750 0.7500 0.1250  6 O 2.09
Os 0.3750 0.2500 0.6250  6 O 2.09
Os 0.3750 0.7500 0.6250  6 O 2.09
Os 0.8750 0.2500 0.6250  6 O 2.09

Properties
space group	Fd-3m, No. 227
magnetization	3.00	μB/f.u.

# 3
Here is a geometry-optimized CsOsO3 structure from OQMD via LeMat-Bulk. Energies are from PBE.

abc: 7.1898 6.7217 10.1073
angles: 90.00 90.00 90.00
Closest atoms and distances in Å follow each position.
Sites, in units of the cell vectors:
Cs 0.5000 0.0000 0.0000  6 O 2.95-3.12
Cs 0.0000 0.5000 0.0000  6 O 2.95-3.12
Cs 0.5000 0.0000 0.5000  6 O 2.95-3.12
Cs 0.0000 0.5000 0.5000  6 O 2.95-3.12
O 0.6285 0.4094 0.1078  1 Os 1.76
O 0.8715 0.9094 0.1078  1 Os 1.76
O 0.2481 0.4393 0.2500  1 Os 1.73
O 0.2519 0.9393 0.2500  1 Os 1.73
O 0.6285 0.4094 0.3922  1 Os 1.76
O 0.8715 0.9094 0.3922  1 Os 1.76
O 0.1285 0.0906 0.6078  1 Os 1.76
O 0.3715 0.5906 0.6078  1 Os 1.76
O 0.7481 0.0607 0.7500  1 Os 1.73
O 0.7519 0.5607 0.7500  1 Os 1.73
O 0.1285 0.0906 0.8922  1 Os 1.76
O 0.3715 0.5906 0.8922  1 Os 1.76
Os 0.4885 0.4285 0.2500  3 O 1.73-1.76
Os 0.0115 0.9285 0.2500  3 O 1.73-1.76
Os 0.9885 0.0715 0.7500  3 O 1.73-1.76
Os 0.5115 0.5715 0.7500  3 O 1.73-1.76

Properties
space group	Pnma, No. 62
magnetization	1.00	μB/f.u.

# 4
Here is a geometry-optimized Cs4OsO4 structure from OQMD via LeMat-Bulk. Energies are from PBE.

abc: 6.7858 6.7858 6.7858
angles: 100.98 100.98 128.25
Closest atoms and distances in Å follow each position.
Sites, in units of the cell vectors:
Cs 0.7931 0.3918 0.1850  4 O 2.81-3.07
Cs 0.6082 0.7931 0.4013  4 O 2.81-3.07
Cs 0.3918 0.2069 0.5987  4 O 2.81-3.07
Cs 0.2069 0.6082 0.8150  4 O 2.81-3.07
O 0.2125 0.9352 0.1478  1 Os 1.92
O 0.0648 0.2125 0.2773  1 Os 1.92
O 0.9352 0.7875 0.7227  1 Os 1.92
O 0.7875 0.0648 0.8522  1 Os 1.92
Os 0.0000 0.0000 0.0000  4 O 1.92

Properties
space group	I4/m, No. 87
magnetization	2.00	μB/f.u.

# 5
Here is a geometry-optimized CsPOsO structure from OQMD via LeMat-Bulk. Energies are from PBE.

abc: 3.7228 7.2340 7.1343
angles: 90.00 90.00 90.00
Closest atoms and distances in Å follow each position.
Sites, in units of the cell vectors:
Cs 0.5000 0.3358 0.0508  2 O 2.98-2.99
Cs 0.5000 0.6642 0.5508  2 O 2.98-2.99
O 0.5000 0.2598 0.4616  2 Os 1.99
O 0.5000 0.7402 0.9616  2 Os 1.99
Os 0.0000 0.1643 0.4791  2 O 1.99, 2 P 2.18-2.19
Os 0.0000 0.8357 0.9791  2 O 1.99, 2 P 2.18-2.19
P 0.0000 0.9512 0.2626  2 Os 2.18-2.19
P 0.0000 0.0488 0.7626  2 Os 2.18-2.19

Properties
energy relative to the lowest polymorph listed for this composition	0.00	eV/f.u.
space group	Pmc2_1, No. 26
magnetization	0.00	μB/f.u.

# 6
Here is a geometry-optimized CsPOsO structure from OQMD via LeMat-Bulk. Energies are from PBE.

abc: 4.0373 4.0373 11.7011
angles: 90.00 90.00 90.00
Closest atoms and distances in Å follow each position.
Sites, in units of the cell vectors:
Cs 0.2500 0.2500 0.1710  4 O 2.84
Cs 0.7500 0.7500 0.8290  4 O 2.84
O 0.7500 0.2500 0.0000  4 Cs 2.84, 4 O 2.85
O 0.2500 0.7500 0.0000  4 Cs 2.84, 4 O 2.85
Os 0.7500 0.2500 0.5000  4 P 2.33
Os 0.2500 0.7500 0.5000  4 P 2.33
P 0.7500 0.7500 0.4010  4 Os 2.33
P 0.2500 0.2500 0.5990  4 Os 2.33

Properties
energy relative to the lowest polymorph listed for this composition	0.90	eV/f.u.
space group	P4/nmm, No. 129
magnetization	1.23	μB/f.u.

# 7
Here is a geometry-optimized Cs2OsPbO6 structure from OQMD via LeMat-Bulk. Energies are from PBE.

abc: 6.2113 6.2113 6.2113
angles: 60.00 60.00 60.00
Closest atoms and distances in Å follow each position.
Sites, in units of the cell vectors:
Cs 0.2500 0.2500 0.2500  12 O 3.12
Cs 0.7500 0.7500 0.7500  12 O 3.12
O 0.2134 0.7866 0.2134  1 Os 1.87
O 0.7866 0.7866 0.2134  1 Os 1.87
O 0.7866 0.2134 0.2134  1 Os 1.87
O 0.2134 0.7866 0.7866  1 Os 1.87
O 0.7866 0.2134 0.7866  1 Os 1.87
O 0.2134 0.2134 0.7866  1 Os 1.87
Os 0.0000 0.0000 0.0000  6 O 1.87
Pb 0.5000 0.5000 0.5000  6 O 2.52

Properties
space group	Fm-3m, No. 225
magnetization	0.00	μB/f.u.

# 8
Here is a geometry-optimized CsTeOsO structure from OQMD via LeMat-Bulk. Energies are from PBE.

abc: 4.4840 7.1786 7.9561
angles: 90.00 90.00 90.00
Closest atoms and distances in Å follow each position.
Sites, in units of the cell vectors:
Cs 0.0000 0.3924 0.2907  2 O 3.23, 1 Te 3.51
Cs 0.0000 0.8924 0.7093  2 O 3.23, 1 Te 3.51
O 0.5000 0.2337 0.0365  2 Os 1.88-1.89
O 0.5000 0.7337 0.9635  2 Os 1.88-1.89
Os 0.5000 0.9734 0.0626  2 O 1.88-1.89
Os 0.5000 0.4734 0.9374  2 O 1.88-1.89
Te 0.0000 0.9094 0.2255  2 Os 2.63
Te 0.0000 0.4094 0.7745  2 Os 2.63

Properties
energy relative to the lowest polymorph listed for this composition	0.00	eV/f.u.
space group	Pmc2_1, No. 26
magnetization	0.00	μB/f.u.

# 9
Here is a geometry-optimized CsTeOsO structure from OQMD via LeMat-Bulk. Energies are from PBE.

abc: 4.3904 4.3904 9.5129
angles: 90.00 90.00 90.00
Closest atoms and distances in Å follow each position.
Sites, in units of the cell vectors:
Cs 0.5000 0.0000 0.5000  4 Cs 3.10
Cs 0.0000 0.5000 0.5000  4 Cs 3.10
O 0.5000 0.0000 0.0000  4 Os 2.28
O 0.0000 0.5000 0.0000  4 Os 2.28
Os 0.0000 0.0000 0.0666  4 O 2.28, 1 Te 2.54
Os 0.5000 0.5000 0.9334  4 O 2.28, 1 Te 2.54
Te 0.5000 0.5000 0.2001  1 Os 2.54
Te 0.0000 0.0000 0.7999  1 Os 2.54

Properties
energy relative to the lowest polymorph listed for this composition	4.54	eV/f.u.
space group	P4/nmm, No. 129
magnetization	0.00	μB/f.u.

# 10
Here is a geometry-optimized CsPPdO structure from OQMD via LeMat-Bulk. Energies are from PBE.

abc: 4.1227 4.1227 11.8612
angles: 90.00 90.00 90.00
Closest atoms and distances in Å follow each position.
Sites, in units of the cell vectors:
Cs 0.2500 0.2500 0.1635  4 O 2.83
Cs 0.7500 0.7500 0.8365  4 O 2.83
O 0.7500 0.2500 0.0000  4 Cs 2.83, 4 O 2.92
O 0.2500 0.7500 0.0000  4 Cs 2.83, 4 O 2.92
P 0.7500 0.7500 0.4002  4 Pd 2.38
P 0.2500 0.2500 0.5998  4 Pd 2.38
Pd 0.7500 0.2500 0.5000  4 P 2.38
Pd 0.2500 0.7500 0.5000  4 P 2.38

Properties
energy relative to the lowest polymorph listed for this composition	0.40	eV/f.u.
space group	P4/nmm, No. 129

# 11
Here is a geometry-optimized CsPPdO structure from OQMD via LeMat-Bulk. Energies are from PBE.

abc: 4.6343 4.6343 8.2665
angles: 90.00 90.00 90.00
Closest atoms and distances in Å follow each position.
Sites, in units of the cell vectors:
Cs 0.0000 0.0000 0.5000  4 Cs 3.28, 4 P 3.31
Cs 0.5000 0.5000 0.5000  4 Cs 3.28, 4 P 3.31
O 0.0000 0.0000 0.0000  4 Pd 2.35
O 0.5000 0.5000 0.0000  4 Pd 2.35
P 0.0000 0.5000 0.2134  1 Pd 2.17
P 0.5000 0.0000 0.7866  1 Pd 2.17
Pd 0.5000 0.0000 0.0496  1 P 2.17, 4 O 2.35
Pd 0.0000 0.5000 0.9504  1 P 2.17, 4 O 2.35

Properties
energy relative to the lowest polymorph listed for this composition	3.34	eV/f.u.
space group	P4/nmm, No. 129

# 12
Here is a geometry-optimized CsPPdO structure from OQMD via LeMat-Bulk. Energies are from PBE.

abc: 6.7425 3.5370 8.1251
angles: 90.00 90.00 90.00
Closest atoms and distances in Å follow each position.
Sites, in units of the cell vectors:
Cs 0.9989 0.0000 0.2725  4 O 3.06-3.07
Cs 0.4990 0.0000 0.7274  4 O 3.06-3.07
O 0.7498 0.5000 0.4992  2 Pd 2.08
O 0.2497 0.5000 0.5011  2 Pd 2.08
P 0.4981 0.0000 0.1741  2 Pd 2.27
P 0.9981 0.0000 0.8257  2 Pd 2.27
Pd 0.4992 0.5000 0.3502  2 O 2.08, 2 P 2.27
Pd 0.9992 0.5000 0.6498  2 O 2.08, 2 P 2.27

Properties
energy relative to the lowest polymorph listed for this composition	0.00	eV/f.u.
space group	Pmc2_1, No. 26

Number 1: ρ 9.44 g/cm³, final energy -6.30 eV/atom, calculated volume 13.054 Å³/atom. Number 2: ρ 9.17 g/cm³, final energy -6.72 eV/atom, calculated volume 14.929 Å³/atom. Number 3: ρ 5.05 g/cm³, final energy -6.51 eV/atom, calculated volume 24.423 Å³/atom. Number 4: ρ 5.91 g/cm³, final energy -5.05 eV/atom, calculated volume 24.533 Å³/atom. Number 5: ρ 6.40 g/cm³, final energy -6.03 eV/atom, calculated volume 24.017 Å³/atom. Number 6: ρ 6.44 g/cm³, final energy -5.80 eV/atom, calculated volume 23.841 Å³/atom. Number 7: ρ 7.44 g/cm³, final energy -5.87 eV/atom, calculated volume 16.945 Å³/atom. Number 8: ρ 6.05 g/cm³, final energy -5.46 eV/atom, calculated volume 32.012 Å³/atom. Number 9: ρ 8.45 g/cm³, final energy -4.33 eV/atom, calculated volume 22.920 Å³/atom. Number 10: ρ 4.72 g/cm³, final energy -4.29 eV/atom, calculated volume 25.200 Å³/atom. Number 11: ρ 5.36 g/cm³, final energy -3.56 eV/atom, calculated volume 22.192 Å³/atom. Number 12: ρ 4.91 g/cm³, final energy -4.39 eV/atom, calculated volume 24.221 Å³/atom.